CePrTeBr2 | PBE | optimized geometry

Computed properties:
E_form (uncorrected): -1205 meV/atom
space group: I4mm
spin magnetization: 2.82 μB/f.u.
DFT total energy: -4.65 eV per atom

a b c (Å): 4.6456 4.6456 14.6660
angles (deg): 90.00 90.00 90.00
Element x y z (fractional)
Ce 0.0000 0.0000 0.0000
Ce 0.5000 0.5000 0.5000
Pr 0.0000 0.0000 0.7748
Pr 0.5000 0.5000 0.2748
Te 0.0000 0.0000 0.3836
Te 0.5000 0.5000 0.8836
Br 0.0000 0.5000 0.1361
Br 0.0000 0.5000 0.6361
Br 0.5000 0.0000 0.1361
Br 0.5000 0.0000 0.6361